No. 1
! YTm2In3Ag2Pt (GGA-PBE, relaxed); values from VASP
! - SG: Amm2, No. 38
! - VASP energy: -4.519 eV per atom
&SYSTEM
  ibrav = 0, nat = 9, ntyp = 5
/
ATOMIC_SPECIES
Y 88.91 Y.upf
Tm 168.93 Tm.upf
In 114.82 In.upf
Ag 107.87 Ag.upf
Pt 195.08 Pt.upf
CELL_PARAMETERS angstrom
3.9649 0.0000 0.0000
0.0000 6.6737 3.8468
0.0000 -6.6737 3.8468
ATOMIC_POSITIONS angstrom
Y 0.0000 0.0000 0.0000
Tm 0.0000 -2.6374 3.1164
Tm 0.0000 2.6374 3.1164
In 1.9824 0.0000 2.6355
In 1.9824 -1.7224 5.6320
In 1.9824 1.7224 5.6320
Ag 1.9824 -4.4229 4.6404
Ag 1.9824 4.4229 4.6404
Pt 0.0000 0.0000 4.6060

---

No. 2
! Y3In3AgPt2 (GGA-PBE, relaxed); values from VASP
! - SG: P-62m, No. 189
! - VASP energy: -5.558 eV per atom
&SYSTEM
  ibrav = 0, nat = 9, ntyp = 4
/
ATOMIC_SPECIES
Y 88.91 Y.upf
In 114.82 In.upf
Ag 107.87 Ag.upf
Pt 195.08 Pt.upf
CELL_PARAMETERS angstrom
7.7847 0.0000 0.0000
-3.8923 6.7417 0.0000
0.0000 0.0000 3.8372
ATOMIC_POSITIONS angstrom
Y -1.6052 2.7802 0.0000
Y 3.2103 0.0000 0.0000
Y 2.2872 3.9615 0.0000
In -2.8560 4.9467 1.9186
In 1.0364 1.7950 1.9186
In 5.7119 0.0000 1.9186
Ag 0.0000 0.0000 0.0000
Pt 0.0000 4.4945 1.9186
Pt 3.8923 2.2472 1.9186

---

No. 3
! PuInAg (GGA-PBE, relaxed); values from VASP
! - SG: F-43m, No. 216
! - VASP energy: -6.319 eV per atom
&SYSTEM
  ibrav = 0, nat = 3, ntyp = 3
/
ATOMIC_SPECIES
Pu 244.00 Pu.upf
In 114.82 In.upf
Ag 107.87 Ag.upf
CELL_PARAMETERS angstrom
0.0000 3.4923 3.4923
3.4923 0.0000 3.4923
3.4923 3.4923 0.0000
ATOMIC_POSITIONS angstrom
Pu 0.0000 0.0000 0.0000
In 5.2384 5.2384 5.2384
Ag 3.4923 3.4923 3.4923

---

No. 4
! RbInAg (GGA-PBE, relaxed); values from VASP
! - SG: F-43m, No. 216
! - VASP energy: -1.963 eV per atom
! - Polymorph energy (0 for the lowest one): 0.000 eV per atom
&SYSTEM
  ibrav = 0, nat = 3, ntyp = 3
/
ATOMIC_SPECIES
Rb 85.47 Rb.upf
In 114.82 In.upf
Ag 107.87 Ag.upf
CELL_PARAMETERS angstrom
0.0000 3.8064 3.8064
3.8064 0.0000 3.8064
3.8064 3.8064 0.0000
ATOMIC_POSITIONS angstrom
Rb 0.0000 0.0000 0.0000
In 3.8064 3.8064 3.8064
Ag 5.7096 5.7096 5.7096

---

No. 5
! RbTl3In3Ag4 (GGA-PBE, relaxed); values from VASP
! - SG: P-6m2, No. 187
! - VASP energy: -2.548 eV per atom
&SYSTEM
  ibrav = 0, nat = 11, ntyp = 4
/
ATOMIC_SPECIES
Rb 85.47 Rb.upf
Tl 204.38 Tl.upf
In 114.82 In.upf
Ag 107.87 Ag.upf
CELL_PARAMETERS angstrom
8.3514 0.0000 0.0000
-4.1757 7.2325 0.0000
0.0000 0.0000 4.6762
ATOMIC_POSITIONS angstrom
Rb 0.0000 0.0000 0.0000
Tl 2.4470 1.4128 2.3381
Tl 5.9044 1.4128 2.3381
Tl 4.1757 4.4069 2.3381
In -1.6417 3.8738 0.0000
In 1.6417 3.8738 0.0000
In 0.0000 6.7174 0.0000
Ag 0.0000 3.1206 2.3381
Ag -1.4732 5.6723 2.3381
Ag 1.4732 5.6723 2.3381
Ag 4.1757 2.4108 0.0000

---

No. 6
! InReAgS3 (GGA-PBE, relaxed); values from VASP
! - SG: Cmcm, No. 63
! - VASP energy: -5.248 eV per atom
&SYSTEM
  ibrav = 0, nat = 12, ntyp = 4
/
ATOMIC_SPECIES
In 114.82 In.upf
Re 186.21 Re.upf
Ag 107.87 Ag.upf
S 32.06 S.upf
CELL_PARAMETERS angstrom
1.6267 -8.1953 0.0000
1.6267 8.1953 0.0000
0.0000 0.0000 9.2706
ATOMIC_POSITIONS angstrom
In 1.6267 5.4750 6.9530
In 1.6267 -5.4750 2.3177
Re 1.6267 0.0000 0.0000
Re 1.6267 0.0000 4.6353
Ag 1.6267 5.0355 2.3177
Ag 1.6267 -5.0355 6.9530
S 1.6267 6.4420 0.2542
S 1.6267 6.4420 4.3811
S 1.6267 0.5642 2.3177
S 1.6267 -0.5642 6.9530
S 1.6267 -6.4420 4.8895
S 1.6267 -6.4420 9.0165

---

No. 7
! InReAgSeS2 (GGA-PBE, relaxed); values from VASP
! - SG: Cmcm, No. 63
! - VASP energy: -5.091 eV per atom
&SYSTEM
  ibrav = 0, nat = 12, ntyp = 5
/
ATOMIC_SPECIES
In 114.82 In.upf
Re 186.21 Re.upf
Ag 107.87 Ag.upf
Se 78.96 Se.upf
S 32.06 S.upf
CELL_PARAMETERS angstrom
1.6278 -8.1426 0.0000
1.6278 8.1426 0.0000
0.0000 0.0000 9.7049
ATOMIC_POSITIONS angstrom
In 1.6278 5.2644 7.2787
In 1.6278 -5.2644 2.4262
Re 1.6278 0.0000 0.0000
Re 1.6278 0.0000 4.8525
Ag 1.6278 5.2063 2.4262
Ag 1.6278 -5.2063 7.2787
Se 1.6278 0.5455 2.4262
Se 1.6278 -0.5455 7.2787
S 1.6278 6.3763 0.2064
S 1.6278 6.3763 4.6460
S 1.6278 -6.3763 5.0589
S 1.6278 -6.3763 9.4985

---

No. 8
! InReAgTe2S (GGA-PBE, relaxed); values from VASP
! - SG: Cmcm, No. 63
! - VASP energy: -4.507 eV per atom
&SYSTEM
  ibrav = 0, nat = 12, ntyp = 5
/
ATOMIC_SPECIES
In 114.82 In.upf
Re 186.21 Re.upf
Ag 107.87 Ag.upf
Te 127.60 Te.upf
S 32.06 S.upf
CELL_PARAMETERS angstrom
2.0010 -7.1824 0.0000
2.0010 7.1824 0.0000
0.0000 0.0000 9.9281
ATOMIC_POSITIONS angstrom
In 2.0010 3.7738 7.4461
In 2.0010 -3.7738 2.4820
Re 2.0010 0.0000 0.0000
Re 2.0010 0.0000 4.9640
Ag 2.0010 6.8032 2.4820
Ag 2.0010 -6.8032 7.4461
Te 2.0010 5.2470 0.2978
Te 2.0010 5.2470 4.6662
Te 2.0010 -5.2470 5.2618
Te 2.0010 -5.2470 9.6303
S 2.0010 1.0686 2.4820
S 2.0010 -1.0686 7.4461

---

No. 9
! InReAgTeS2 (GGA-PBE, relaxed); values from VASP
! - SG: Cmcm, No. 63
! - VASP energy: -4.935 eV per atom
&SYSTEM
  ibrav = 0, nat = 12, ntyp = 5
/
ATOMIC_SPECIES
In 114.82 In.upf
Re 186.21 Re.upf
Ag 107.87 Ag.upf
Te 127.60 Te.upf
S 32.06 S.upf
CELL_PARAMETERS angstrom
1.6441 -8.1126 0.0000
1.6441 8.1126 0.0000
0.0000 0.0000 10.3329
ATOMIC_POSITIONS angstrom
In 1.6441 5.0068 7.7497
In 1.6441 -5.0068 2.5832
Re 1.6441 0.0000 0.0000
Re 1.6441 0.0000 5.1664
Ag 1.6441 5.4299 2.5832
Ag 1.6441 -5.4299 7.7497
Te 1.6441 0.5424 2.5832
Te 1.6441 -0.5424 7.7497
S 1.6441 6.3514 0.1900
S 1.6441 6.3514 4.9764
S 1.6441 -6.3514 5.3565
S 1.6441 -6.3514 10.1429

---

No. 10
! InReAg3Se4 (GGA-PBE, relaxed); values from VASP
! - SG: P-43m, No. 215
! - VASP energy: -4.096 eV per atom
&SYSTEM
  ibrav = 0, nat = 9, ntyp = 4
/
ATOMIC_SPECIES
In 114.82 In.upf
Re 186.21 Re.upf
Ag 107.87 Ag.upf
Se 78.96 Se.upf
CELL_PARAMETERS angstrom
6.3162 0.0000 0.0000
0.0000 6.3162 0.0000
0.0000 0.0000 6.3162
ATOMIC_POSITIONS angstrom
In 0.0000 0.0000 0.0000
Re 3.1581 3.1581 3.1581
Ag 0.0000 3.1581 3.1581
Ag 3.1581 0.0000 3.1581
Ag 3.1581 3.1581 0.0000
Se 1.7240 1.7240 1.7240
Se 1.7240 4.5921 4.5921
Se 4.5921 1.7240 4.5921
Se 4.5921 4.5921 1.7240

---

No. 11
! InReAgTe2Se (GGA-PBE, relaxed); values from VASP
! - SG: Cmcm, No. 63
! - VASP energy: -4.410 eV per atom
&SYSTEM
  ibrav = 0, nat = 12, ntyp = 5
/
ATOMIC_SPECIES
In 114.82 In.upf
Re 186.21 Re.upf
Ag 107.87 Ag.upf
Te 127.60 Te.upf
Se 78.96 Se.upf
CELL_PARAMETERS angstrom
1.9873 -7.1961 0.0000
1.9873 7.1961 0.0000
0.0000 0.0000 10.3009
ATOMIC_POSITIONS angstrom
In 1.9873 3.6099 7.7257
In 1.9873 -3.6099 2.5752
Re 1.9873 0.0000 0.0000
Re 1.9873 0.0000 5.1505
Ag 1.9873 6.6331 2.5752
Ag 1.9873 -6.6331 7.7257
Te 1.9873 5.2733 0.2488
Te 1.9873 5.2733 4.9017
Te 1.9873 -5.2733 5.3992
Te 1.9873 -5.2733 10.0521
Se 1.9873 1.1055 2.5752
Se 1.9873 -1.1055 7.7257

---

No. 12
! InReAgTeSe2 (GGA-PBE, relaxed); values from VASP
! - SG: Cmcm, No. 63
! - VASP energy: -4.678 eV per atom
&SYSTEM
  ibrav = 0, nat = 12, ntyp = 5
/
ATOMIC_SPECIES
In 114.82 In.upf
Re 186.21 Re.upf
Ag 107.87 Ag.upf
Te 127.60 Te.upf
Se 78.96 Se.upf
CELL_PARAMETERS angstrom
1.6964 -8.1999 0.0000
1.6964 8.1999 0.0000
0.0000 0.0000 10.4446
ATOMIC_POSITIONS angstrom
In 1.6964 5.1446 7.8334
In 1.6964 -5.1446 2.6111
Re 1.6964 0.0000 0.0000
Re 1.6964 0.0000 5.2223
Ag 1.6964 5.3321 2.6111
Ag 1.6964 -5.3321 7.8334
Te 1.6964 0.5092 2.6111
Te 1.6964 -0.5092 7.8334
Se 1.6964 6.3191 0.1752
Se 1.6964 6.3191 5.0471
Se 1.6964 -6.3191 5.3975
Se 1.6964 -6.3191 10.2693